1.
First-principles (PBE-GGA) data for a relaxed Sm6AuSe2S3 crystal, as listed in the Alexandria database.

Properties
* raw formation energy: -1.756 eV per atom
* V: 293.8 Å³/f.u.
* uncorrected energy: -6.00 eV/atom

abc: 7.1116 7.1116 7.1151
angles: 99.57 99.57 120.02
Fractional positions:
Sm  0.9132  0.5762  0.7365
Sm  0.7529  0.7529  0.2661
Sm  0.0868  0.4238  0.2635
Sm  0.5762  0.9132  0.7365
Sm  0.2471  0.2471  0.7339
Sm  0.4238  0.0868  0.2635
Au  0.0000  0.0000  0.0000
Se  0.3345  0.6655  0.0000
Se  0.6655  0.3345  0.0000
S  0.1678  0.8322  0.5000
S  0.8322  0.1678  0.5000
S  0.5000  0.5000  0.5000

2.
First-principles (PBE-GGA) data for a relaxed Sm6AuSe3S2 crystal, as listed in the Alexandria database.

Properties
* raw formation energy: -1.728 eV per atom
* V: 300.8 Å³/f.u.
* uncorrected energy: -5.92 eV/atom

abc: 7.1553 7.1553 7.1896
angles: 99.55 99.55 119.98
Fractional positions:
Sm  0.9206  0.5770  0.7582
Sm  0.7374  0.7374  0.2400
Sm  0.0794  0.4230  0.2418
Sm  0.5770  0.9206  0.7582
Sm  0.2626  0.2626  0.7600
Sm  0.4230  0.0794  0.2418
Au  0.0000  0.0000  0.0000
Se  0.1647  0.8353  0.5000
Se  0.8353  0.1647  0.5000
Se  0.5000  0.5000  0.5000
S  0.3339  0.6661  0.0000
S  0.6661  0.3339  0.0000

3.
First-principles (PBE-GGA) data for a relaxed Sn4AuSeS2 crystal, as listed in the Alexandria database.

Properties
* raw formation energy: -0.300 eV per atom
* V: 199.4 Å³/f.u.
* uncorrected energy: -4.18 eV/atom

abc: 4.0362 7.2958 7.1401
angles: 71.52 90.00 90.00
Fractional positions:
Sn  0.0000  0.7543  0.7387
Sn  0.0000  0.2457  0.2613
Sn  0.5000  0.7505  0.2620
Sn  0.5000  0.2495  0.7380
Au  0.0000  0.5000  0.5000
Se  0.5000  0.5000  0.0000
S  0.0000  0.0000  0.0000
S  0.5000  0.0000  0.5000

4.
First-principles (PBE-GGA) data for a relaxed SnAu2SeS crystal, as listed in the Alexandria database.

Properties
* raw formation energy: 0.404 eV per atom
* V: 124.8 Å³/f.u.
* uncorrected energy: -3.23 eV/atom

abc: 4.9837 5.0246 4.9837
angles: 90.00 90.00 90.00
Fractional positions:
S  0.0000  0.5000  0.0000
Au  0.0000  0.0000  0.5000
Au  0.5000  0.0000  0.0000
Sn  0.5000  0.5000  0.5000
Se  0.0000  0.0000  0.0000

5.
First-principles (PBE-GGA) data for a relaxed Tb4AuSeS2 crystal, as listed in the Alexandria database.

Properties
* raw formation energy: -1.632 eV per atom
* V: 187.0 Å³/f.u.
* uncorrected energy: -5.82 eV/atom

abc: 3.9512 7.1010 7.0280
angles: 71.54 90.00 90.00
Fractional positions:
Tb  0.0000  0.7661  0.7447
Tb  0.0000  0.2339  0.2552
Tb  0.5000  0.7628  0.2459
Tb  0.5000  0.2372  0.7541
Au  0.0000  0.5000  0.5000
Se  0.5000  0.5000  0.0000
S  0.0000  0.0000  0.0000
S  0.5000  0.0000  0.5000

6.
First-principles (PBE-GGA) data for a relaxed Te2AuSeS crystal, as listed in the Alexandria database.

Properties
* raw formation energy: 0.858 eV per atom
* V: 147.6 Å³/f.u.
* uncorrected energy: -2.58 eV/atom

abc: 5.4656 4.9421 5.4656
angles: 90.00 90.00 90.00
Fractional positions:
S  0.5000  0.5000  0.5000
Te  0.0000  0.0000  0.5000
Te  0.5000  0.0000  0.0000
Au  0.0000  0.0000  0.0000
Se  0.0000  0.5000  0.0000

7.
First-principles (PBE-GGA) data for a relaxed Th6AuSe3S2 crystal, as listed in the Alexandria database.

Properties
* raw formation energy: -1.467 eV per atom
* V: 311.4 Å³/f.u.
* uncorrected energy: -7.01 eV/atom

abc: 7.1749 7.1749 7.3900
angles: 99.24 99.24 120.16
Fractional positions:
Th  0.9197  0.5742  0.7625
Th  0.7317  0.7317  0.2335
Th  0.0803  0.4258  0.2375
Th  0.5742  0.9197  0.7625
Th  0.2683  0.2683  0.7665
Th  0.4258  0.0803  0.2375
Au  0.0000  0.0000  0.0000
Se  0.1597  0.8403  0.5000
Se  0.8403  0.1597  0.5000
Se  0.5000  0.5000  0.5000
S  0.3318  0.6682  0.0000
S  0.6682  0.3318  0.0000

8.
First-principles (PBE-GGA) data for a relaxed Th4AuSeS2 crystal, as listed in the Alexandria database.

Properties
* raw formation energy: -1.420 eV per atom
* V: 204.8 Å³/f.u.
* uncorrected energy: -7.01 eV/atom

abc: 4.0787 7.2398 7.3204
angles: 71.38 90.00 90.00
Fractional positions:
Th  0.0000  0.7699  0.7444
Th  0.0000  0.2302  0.2556
Th  0.5000  0.7664  0.2455
Th  0.5000  0.2336  0.7545
Au  0.0000  0.5000  0.5000
Se  0.5000  0.5000  0.0000
S  0.0000  0.0000  0.0000
S  0.5000  0.0000  0.5000

Copy entry 4 word for word.
First-principles (PBE-GGA) data for a relaxed SnAu2SeS crystal, as listed in the Alexandria database.

Properties
* raw formation energy: 0.404 eV per atom
* V: 124.8 Å³/f.u.
* uncorrected energy: -3.23 eV/atom

abc: 4.9837 5.0246 4.9837
angles: 90.00 90.00 90.00
Fractional positions:
S  0.0000  0.5000  0.0000
Au  0.0000  0.0000  0.5000
Au  0.5000  0.0000  0.0000
Sn  0.5000  0.5000  0.5000
Se  0.0000  0.0000  0.0000

> Look up the uncorrected energy of the second one.

-5.92 eV/atom